5
Lattice="5.0535 0.0000 0.0000 0.0000 5.0535 0.0000 0.0000 0.0000 4.7778" Properties=species:S:1:pos:R:3 comment="MnAsPdBr2 (PBE-GGA, relaxed)" e_tot_ry_per_atom=-0.301 n_ef_per_ev_cell=4.8 formation_energy_uncorrected_ev_per_fu=1.86 pbc="T T T"
Mn 0.0000 0.0000 0.0000
As 0.0000 0.0000 2.3889
Pd 2.5267 2.5267 2.3889
Br 0.0000 2.5267 0.0000
Br 2.5267 0.0000 0.0000

5
Lattice="4.5459 0.0000 0.0000 0.0000 4.5459 0.0000 0.0000 0.0000 5.1953" Properties=species:S:1:pos:R:3 comment="MnAs2PdBr (PBE-GGA, relaxed)" e_tot_ry_per_atom=-0.338 n_ef_per_ev_cell=3.6 formation_energy_uncorrected_ev_per_fu=2.31 pbc="T T T"
Mn 0.0000 0.0000 0.0000
As 0.0000 2.2730 0.0000
As 2.2730 0.0000 0.0000
Pd 2.2730 2.2730 2.5976
Br 0.0000 0.0000 2.5976

5
Lattice="5.0163 0.0000 0.0000 0.0000 5.0163 0.0000 0.0000 0.0000 5.3096" Properties=species:S:1:pos:R:3 comment="MnAsPdBr2 (PBE-GGA, relaxed)" e_tot_ry_per_atom=-0.285 n_ef_per_ev_cell=4.0 formation_energy_uncorrected_ev_per_fu=2.96 pbc="T T T"
Mn 0.0000 0.0000 0.0000
As 2.5082 2.5082 0.0000
Pd 0.0000 0.0000 2.6548
Br 0.0000 2.5082 2.6548
Br 2.5082 0.0000 2.6548

5
Lattice="4.8999 0.0000 0.0000 0.0000 4.8999 0.0000 0.0000 0.0000 5.2703" Properties=species:S:1:pos:R:3 comment="MnAs2PtBr (PBE-GGA, relaxed)" e_tot_ry_per_atom=-0.337 n_ef_per_ev_cell=3.3 formation_energy_uncorrected_ev_per_fu=3.25 pbc="T T T"
Mn 0.0000 0.0000 0.0000
As 0.0000 2.4500 2.6351
As 2.4500 0.0000 2.6351
Pt 2.4500 2.4500 2.6351
Br 2.4500 2.4500 0.0000

5
Lattice="4.6559 0.0000 0.0000 0.0000 4.6559 0.0000 0.0000 0.0000 6.8529" Properties=species:S:1:pos:R:3 comment="RbMnAs2Br (PBE-GGA, relaxed)" e_tot_ry_per_atom=-0.333 n_ef_per_ev_cell=1.0 formation_energy_uncorrected_ev_per_fu=-1.54 pbc="T T T"
Rb 0.0000 0.0000 0.0000
Mn 2.3279 2.3279 3.4265
As 0.0000 2.3279 3.4265
As 2.3279 0.0000 3.4265
Br 2.3279 2.3279 0.0000

10
Lattice="-3.8453 3.8453 5.8674 3.8453 -3.8453 5.8674 3.8453 3.8453 -5.8674" Properties=species:S:1:pos:R:3 comment="Rb2MnAsBr6 (PBE-GGA, relaxed)" e_tot_ry_per_atom=-0.259 n_ef_per_ev_cell=0.0 formation_energy_uncorrected_ev_per_fu=-9.50 pbc="T T T"
Rb 3.8453 0.0000 2.9337
Rb 0.0000 3.8453 2.9337
Mn 0.0000 0.0000 0.0000
As 0.0000 0.0000 5.8674
Br 0.0000 0.0000 2.5085
Br 1.9651 1.9651 0.0000
Br 1.8802 -1.8802 5.8674
Br -1.8802 1.8802 5.8674
Br 1.8802 1.8802 5.8674
Br 0.0000 0.0000 9.2263

5
Lattice="4.8149 0.0000 0.0000 0.0000 4.8149 0.0000 0.0000 0.0000 5.3496" Properties=species:S:1:pos:R:3 comment="MnReAsBr2 (PBE-GGA, relaxed)" e_tot_ry_per_atom=-0.353 n_ef_per_ev_cell=2.8 formation_energy_uncorrected_ev_per_fu=5.59 pbc="T T T"
Mn 0.0000 0.0000 0.0000
Re 2.4075 2.4075 2.6748
As 0.0000 0.0000 2.6748
Br 0.0000 2.4075 0.0000
Br 2.4075 0.0000 0.0000

5
Lattice="5.2500 0.0000 0.0000 0.0000 5.2500 0.0000 0.0000 0.0000 4.7792" Properties=species:S:1:pos:R:3 comment="MnReAsBr2 (PBE-GGA, relaxed)" e_tot_ry_per_atom=-0.375 n_ef_per_ev_cell=4.9 formation_energy_uncorrected_ev_per_fu=4.10 pbc="T T T"
Mn 0.0000 0.0000 0.0000
Re 2.6250 2.6250 2.3896
As 2.6250 2.6250 0.0000
Br 0.0000 2.6250 2.3896
Br 2.6250 0.0000 2.3896

5
Lattice="4.7604 0.0000 0.0000 0.0000 4.7604 0.0000 0.0000 0.0000 5.3020" Properties=species:S:1:pos:R:3 comment="MnAs2RhBr (PBE-GGA, relaxed)" e_tot_ry_per_atom=-0.364 n_ef_per_ev_cell=4.2 formation_energy_uncorrected_ev_per_fu=2.70 pbc="T T T"
Mn 0.0000 0.0000 0.0000
As 0.0000 2.3802 2.6510
As 2.3802 0.0000 2.6510
Rh 2.3802 2.3802 2.6510
Br 2.3802 2.3802 0.0000

5
Lattice="5.2043 0.0000 0.0000 0.0000 5.2043 0.0000 0.0000 0.0000 4.7124" Properties=species:S:1:pos:R:3 comment="MnAsRhBr2 (PBE-GGA, relaxed)" e_tot_ry_per_atom=-0.330 n_ef_per_ev_cell=2.9 formation_energy_uncorrected_ev_per_fu=2.03 pbc="T T T"
Mn 0.0000 0.0000 0.0000
As 2.6022 2.6022 0.0000
Rh 2.6022 2.6022 2.3562
Br 0.0000 2.6022 2.3562
Br 2.6022 0.0000 2.3562

5
Lattice="4.9067 0.0000 0.0000 0.0000 4.9067 0.0000 0.0000 0.0000 4.8476" Properties=species:S:1:pos:R:3 comment="MnAsRhBr2 (PBE-GGA, relaxed)" e_tot_ry_per_atom=-0.309 n_ef_per_ev_cell=9.9 formation_energy_uncorrected_ev_per_fu=3.47 pbc="T T T"
Mn 0.0000 0.0000 0.0000
As 0.0000 0.0000 2.4238
Rh 2.4534 2.4534 2.4238
Br 0.0000 2.4534 0.0000
Br 2.4534 0.0000 0.0000

5
Lattice="5.2226 0.0000 0.0000 0.0000 5.2226 0.0000 0.0000 0.0000 4.6592" Properties=species:S:1:pos:R:3 comment="MnAsRuBr2 (PBE-GGA, relaxed)" e_tot_ry_per_atom=-0.350 n_ef_per_ev_cell=2.1 formation_energy_uncorrected_ev_per_fu=2.64 pbc="T T T"
Mn 0.0000 0.0000 0.0000
As 2.6113 2.6113 0.0000
Ru 2.6113 2.6113 2.3296
Br 0.0000 2.6113 2.3296
Br 2.6113 0.0000 2.3296

5
Lattice="5.0440 0.0000 0.0000 0.0000 5.0440 0.0000 0.0000 0.0000 4.4927" Properties=species:S:1:pos:R:3 comment="MnAsRuBr2 (PBE-GGA, relaxed)" e_tot_ry_per_atom=-0.312 n_ef_per_ev_cell=6.6 formation_energy_uncorrected_ev_per_fu=5.21 pbc="T T T"
Mn 0.0000 0.0000 0.0000
As 0.0000 0.0000 2.2463
Ru 2.5220 2.5220 2.2463
Br 0.0000 2.5220 0.0000
Br 2.5220 0.0000 0.0000

5
Lattice="4.7273 0.0000 0.0000 0.0000 4.7273 0.0000 0.0000 0.0000 4.9995" Properties=species:S:1:pos:R:3 comment="ScMnAs2Br (PBE-GGA, relaxed)" e_tot_ry_per_atom=-0.391 n_ef_per_ev_cell=1.9 formation_energy_uncorrected_ev_per_fu=-0.12 pbc="T T T"
Sc 0.0000 0.0000 0.0000
Mn 2.3636 2.3636 2.4997
As 0.0000 2.3636 2.4997
As 2.3636 0.0000 2.4997
Br 2.3636 2.3636 0.0000

5
Lattice="5.1600 0.0000 0.0000 0.0000 5.1600 0.0000 0.0000 0.0000 5.1691" Properties=species:S:1:pos:R:3 comment="ScMnAs2Br (PBE-GGA, relaxed)" e_tot_ry_per_atom=-0.376 n_ef_per_ev_cell=3.7 formation_energy_uncorrected_ev_per_fu=0.86 pbc="T T T"
Sc 0.0000 0.0000 0.0000
Mn 2.5800 2.5800 2.5845
As 0.0000 2.5800 0.0000
As 2.5800 0.0000 0.0000
Br 0.0000 0.0000 2.5845

5
Lattice="5.1302 0.0000 0.0000 0.0000 5.1302 0.0000 0.0000 0.0000 5.0898" Properties=species:S:1:pos:R:3 comment="MnAsSe2Br (PBE-GGA, relaxed)" e_tot_ry_per_atom=-0.297 n_ef_per_ev_cell=2.3 formation_energy_uncorrected_ev_per_fu=2.23 pbc="T T T"
Mn 0.0000 0.0000 0.0000
As 2.5651 2.5651 2.5449
Se 0.0000 2.5651 2.5449
Se 2.5651 0.0000 2.5449
Br 2.5651 2.5651 0.0000

5
Lattice="4.5467 0.0000 0.0000 0.0000 4.5467 0.0000 0.0000 0.0000 5.1780" Properties=species:S:1:pos:R:3 comment="MnAsSe2Br (PBE-GGA, relaxed)" e_tot_ry_per_atom=-0.306 n_ef_per_ev_cell=5.6 formation_energy_uncorrected_ev_per_fu=1.63 pbc="T T T"
Mn 0.0000 0.0000 0.0000
As 0.0000 0.0000 2.5890
Se 0.0000 2.2733 0.0000
Se 2.2733 0.0000 0.0000
Br 2.2733 2.2733 2.5890

5
Lattice="5.0809 0.0000 0.0000 0.0000 5.0809 0.0000 0.0000 0.0000 5.1081" Properties=species:S:1:pos:R:3 comment="MnAsSe2Br (PBE-GGA, relaxed)" e_tot_ry_per_atom=-0.207 n_ef_per_ev_cell=6.6 formation_energy_uncorrected_ev_per_fu=8.39 pbc="T T T"
Mn 0.0000 0.0000 0.0000
As 2.5404 2.5404 0.0000
Se 0.0000 2.5404 2.5540
Se 2.5404 0.0000 2.5540
Br 2.5404 2.5404 2.5540

5
Lattice="4.6434 0.0000 0.0000 0.0000 4.6434 0.0000 0.0000 0.0000 4.9380" Properties=species:S:1:pos:R:3 comment="MnAsSe2Br (PBE-GGA, relaxed)" e_tot_ry_per_atom=-0.303 n_ef_per_ev_cell=3.5 formation_energy_uncorrected_ev_per_fu=1.85 pbc="T T T"
Mn 0.0000 0.0000 0.0000
As 2.3217 2.3217 2.4690
Se 0.0000 2.3217 0.0000
Se 2.3217 0.0000 0.0000
Br 0.0000 0.0000 2.4690

5
Lattice="4.9249 0.0000 0.0000 0.0000 4.9249 0.0000 0.0000 0.0000 5.1604" Properties=species:S:1:pos:R:3 comment="MnSiAsBr2 (PBE-GGA, relaxed)" e_tot_ry_per_atom=-0.299 n_ef_per_ev_cell=2.8 formation_energy_uncorrected_ev_per_fu=2.24 pbc="T T T"
Mn 0.0000 0.0000 0.0000
Si 2.4624 2.4624 2.5802
As 0.0000 0.0000 2.5802
Br 0.0000 2.4624 0.0000
Br 2.4624 0.0000 0.0000

5
Lattice="4.9904 0.0000 0.0000 0.0000 4.9904 0.0000 0.0000 0.0000 5.1314" Properties=species:S:1:pos:R:3 comment="MnSiAsBr2 (PBE-GGA, relaxed)" e_tot_ry_per_atom=-0.296 n_ef_per_ev_cell=2.8 formation_energy_uncorrected_ev_per_fu=2.44 pbc="T T T"
Mn 0.0000 0.0000 0.0000
Si 2.4952 2.4952 2.5657
As 2.4952 2.4952 0.0000
Br 0.0000 2.4952 2.5657
Br 2.4952 0.0000 2.5657

5
Lattice="4.6909 0.0000 0.0000 0.0000 4.6909 0.0000 0.0000 0.0000 5.8993" Properties=species:S:1:pos:R:3 comment="SrMnAs2Br (PBE-GGA, relaxed)" e_tot_ry_per_atom=-0.360 n_ef_per_ev_cell=3.3 formation_energy_uncorrected_ev_per_fu=-2.66 pbc="T T T"
Sr 0.0000 0.0000 0.0000
Mn 2.3454 2.3454 2.9497
As 0.0000 2.3454 2.9497
As 2.3454 0.0000 2.9497
Br 2.3454 2.3454 0.0000

5
Lattice="5.1599 0.0000 0.0000 0.0000 5.1599 0.0000 0.0000 0.0000 5.0931" Properties=species:S:1:pos:R:3 comment="TaMnAsBr2 (PBE-GGA, relaxed)" e_tot_ry_per_atom=-0.396 n_ef_per_ev_cell=3.4 formation_energy_uncorrected_ev_per_fu=2.10 pbc="T T T"
Ta 0.0000 0.0000 0.0000
Mn 2.5800 2.5800 2.5465
As 0.0000 0.0000 2.5465
Br 0.0000 2.5800 0.0000
Br 2.5800 0.0000 0.0000

5
Lattice="4.8417 0.0000 0.0000 0.0000 4.8417 0.0000 0.0000 0.0000 5.1159" Properties=species:S:1:pos:R:3 comment="TaMnAsBr2 (PBE-GGA, relaxed)" e_tot_ry_per_atom=-0.361 n_ef_per_ev_cell=4.8 formation_energy_uncorrected_ev_per_fu=4.46 pbc="T T T"
Ta 0.0000 0.0000 0.0000
Mn 2.4209 2.4209 2.5579
As 2.4209 2.4209 0.0000
Br 0.0000 2.4209 2.5579
Br 2.4209 0.0000 2.5579

5
Lattice="5.2383 0.0000 0.0000 0.0000 5.2383 0.0000 0.0000 0.0000 4.7513" Properties=species:S:1:pos:R:3 comment="MnTcAsBr2 (PBE-GGA, relaxed)" e_tot_ry_per_atom=-0.361 n_ef_per_ev_cell=4.3 formation_energy_uncorrected_ev_per_fu=2.98 pbc="T T T"
Mn 0.0000 0.0000 0.0000
Tc 2.6192 2.6192 2.3757
As 2.6192 2.6192 0.0000
Br 0.0000 2.6192 2.3757
Br 2.6192 0.0000 2.3757

5
Lattice="4.9372 0.0000 0.0000 0.0000 4.9372 0.0000 0.0000 0.0000 5.2206" Properties=species:S:1:pos:R:3 comment="MnTcAsBr2 (PBE-GGA, relaxed)" e_tot_ry_per_atom=-0.347 n_ef_per_ev_cell=3.6 formation_energy_uncorrected_ev_per_fu=3.96 pbc="T T T"
Mn 0.0000 0.0000 0.0000
Tc 2.4686 2.4686 2.6103
As 0.0000 0.0000 2.6103
Br 0.0000 2.4686 0.0000
Br 2.4686 0.0000 0.0000

5
Lattice="4.7567 0.0000 0.0000 0.0000 4.7567 0.0000 0.0000 0.0000 5.0397" Properties=species:S:1:pos:R:3 comment="MnTeAsBr2 (PBE-GGA, relaxed)" e_tot_ry_per_atom=-0.283 n_ef_per_ev_cell=4.2 formation_energy_uncorrected_ev_per_fu=1.04 pbc="T T T"
Mn 0.0000 0.0000 0.0000
Te 2.3783 2.3783 2.5198
As 0.0000 0.0000 2.5198
Br 0.0000 2.3783 0.0000
Br 2.3783 0.0000 0.0000

5
Lattice="4.9008 0.0000 0.0000 0.0000 4.9008 0.0000 0.0000 0.0000 5.1462" Properties=species:S:1:pos:R:3 comment="TiMnAs2Br (PBE-GGA, relaxed)" e_tot_ry_per_atom=-0.396 n_ef_per_ev_cell=3.7 formation_energy_uncorrected_ev_per_fu=1.09 pbc="T T T"
Ti 0.0000 0.0000 0.0000
Mn 2.4504 2.4504 2.5731
As 0.0000 2.4504 0.0000
As 2.4504 0.0000 0.0000
Br 0.0000 0.0000 2.5731

5
Lattice="5.0172 0.0000 0.0000 0.0000 5.0172 0.0000 0.0000 0.0000 5.1844" Properties=species:S:1:pos:R:3 comment="TiMnAsBr2 (PBE-GGA, relaxed)" e_tot_ry_per_atom=-0.367 n_ef_per_ev_cell=2.6 formation_energy_uncorrected_ev_per_fu=0.12 pbc="T T T"
Ti 0.0000 0.0000 0.0000
Mn 2.5086 2.5086 2.5922
As 0.0000 0.0000 2.5922
Br 0.0000 2.5086 0.0000
Br 2.5086 0.0000 0.0000